Density functional theory data (GGA-PBE) for a relaxed structure of BaNaCl2.

**ΔE_f (raw)**: -1742 meV per atom
**Energy**: -3.475 eV per atom

```
data_BaNaCl2
_symmetry_space_group_name_H-M 'R 3 m'
_symmetry_Int_Tables_number 160
_symmetry_space_group_name_Hall 'R 3 -2"'
_cell_length_a 4.1746
_cell_length_b 4.1746
_cell_length_c 23.4730
_cell_angle_alpha 90.00
_cell_angle_beta 90.00
_cell_angle_gamma 120.00
loop_
_atom_site_label
_atom_site_fract_x
_atom_site_fract_y
_atom_site_fract_z
Ba1 0.0000 0.0000 0.0000
Na1 0.0000 0.0000 0.8302
Cl1 0.0000 0.0000 0.2350
Cl2 0.0000 0.0000 0.4307
```